A relaxed KSbOs2 crystal, computed with PBE.

```
data_KSbOs2
_cell_length_a 2.9153
_cell_length_b 3.8153
_cell_length_c 8.1915
_cell_angle_alpha 90.00
_cell_angle_beta 90.00
_cell_angle_gamma 90.00
_symmetry_space_group_name_H-M 'P 1'
_symmetry_Int_Tables_number 1
loop_
_symmetry_equiv_pos_as_xyz
'x,y,z'
loop_
_atom_site_label
_atom_site_fract_x
_atom_site_fract_y
_atom_site_fract_z
K1 0.5000 0.5000 0.7716
Os1 0.0000 0.0000 0.0903
Os2 0.5000 0.5000 0.2148
Sb1 0.0000 0.0000 0.4234
```

DOS(E_F): 0.7649 states/eV per atom
SG: Pmm2, No. 25
E_form (uncorrected): 550 meV/atom

=====

A relaxed CaReI2N crystal, computed with PBE.

```
data_CaReI2N
_cell_length_a 6.2180
_cell_length_b 6.2180
_cell_length_c 4.6935
_cell_angle_alpha 90.00
_cell_angle_beta 90.00
_cell_angle_gamma 90.00
_symmetry_space_group_name_H-M 'P 1'
_symmetry_Int_Tables_number 1
loop_
_symmetry_equiv_pos_as_xyz
'x,y,z'
loop_
_atom_site_label
_atom_site_fract_x
_atom_site_fract_y
_atom_site_fract_z
I1 0.0000 0.5000 0.0000
I2 0.5000 0.0000 0.0000
Re1 0.5000 0.5000 0.5000
Ca1 0.0000 0.0000 0.0000
N1 0.0000 0.0000 0.5000
```

DOS(E_F): 0.1747 states/eV per atom
SG: P4/mmm, No. 123
E_form (uncorrected): 1266 meV/atom

=====

A relaxed LiPm2Nd2Au4 crystal, computed with PBE.

```
data_LiPm2Nd2Au4
_cell_length_a 6.6357
_cell_length_b 6.6357
_cell_length_c 6.6357
_cell_angle_alpha 99.49
_cell_angle_beta 114.68
_cell_angle_gamma 114.68
_symmetry_space_group_name_H-M 'P 1'
_symmetry_Int_Tables_number 1
loop_
_symmetry_equiv_pos_as_xyz
'x,y,z'
loop_
_atom_site_label
_atom_site_fract_x
_atom_site_fract_y
_atom_site_fract_z
Li1 0.0000 0.0000 0.0000
Pm1 0.0000 0.6881 0.6881
Pm2 0.0000 0.3119 0.3119
Nd1 0.5000 0.7500 0.2500
Nd2 0.5000 0.2500 0.7500
Au1 0.0000 0.7554 0.2446
Au2 0.5108 0.7554 0.7554
Au3 0.0000 0.2446 0.7554
Au4 0.4892 0.2446 0.2446
```

E_form: -0.516 eV/atom
DOS(E_F): 0.5913 states/eV per atom
SG: I4/mmm, No. 139